1.
Below is a relaxed HoTm4Al5 crystal, with properties calculated at the PBE-GGA level.

## Properties
Space group: No. 123
E_tot (eV per atom): -4.51

extended XYZ file:
```
10
Lattice="-0.222 1.882 -2.990 -3.139 1.270 1.032 8.221 13.774 8.060" Properties=species:S:1:pos:R:3 pbc="T T T"
Tm 1.658 2.777 1.625
Al 2.430 8.463 3.051
Al 5.700 13.941 6.257
Al -0.840 2.984 -0.155
Tm 3.293 5.518 3.229
Tm 4.928 8.256 4.831
Al 0.795 5.723 1.448
Tm 6.563 10.997 6.435
Al 4.065 11.203 4.655
Ho 0.000 0.000 0.000
```

2.
Below is a relaxed Ho3TmAl3 crystal, with properties calculated at the PBE-GGA level.

## Properties
Space group: No. 65
E_tot (eV per atom): -4.47

extended XYZ file:
```
14
Lattice="6.972 1.651 0.435 -1.628 6.977 0.435 -0.310 -0.501 6.861" Properties=species:S:1:pos:R:3 pbc="T T T"
Tm 3.679 5.940 7.510
Ho 4.731 3.039 0.435
Ho 0.406 5.371 3.866
Ho 1.211 1.956 3.654
Ho 0.303 5.089 7.296
Tm 1.355 2.187 0.221
Al -1.047 3.111 5.382
Al 1.782 7.679 2.349
Al 3.252 0.449 5.382
Al 6.081 5.016 2.349
Ho 3.822 6.172 4.078
Al 5.109 8.250 6.050
Ho 4.628 2.756 3.866
Al -0.076 -0.122 1.681
```

3.
Below is a relaxed HoTm6Al6 crystal, with properties calculated at the PBE-GGA level.

## Properties
Space group: No. 191
E_tot (eV per atom): -4.45

extended XYZ file:
```
13
Lattice="-4.082 -4.142 0.739 5.661 -1.286 0.813 -0.841 2.610 9.984" Properties=species:S:1:pos:R:3 pbc="T T T"
Al 2.624 -0.002 2.860
Tm -1.255 -1.885 5.755
Al 0.155 -0.745 8.306
Tm -0.834 -3.190 0.764
Al 2.196 1.326 7.937
Tm -0.282 0.874 3.342
Al -2.676 -0.102 7.900
Al 0.583 -2.073 3.229
Tm 2.413 -2.238 0.788
Al -2.248 -1.430 2.823
Ho 0.000 0.000 0.000
Tm -0.560 1.736 6.641
Tm 1.993 -0.933 5.780
```

4.
Below is a relaxed Ho7TmAl5 crystal, with properties calculated at the PBE-GGA level.

## Properties
Space group: No. 44
E_tot (eV per atom): -4.47

extended XYZ file:
```
13
Lattice="-1.935 -1.323 -5.618 4.624 -5.391 -3.621 -4.937 -6.258 -0.124" Properties=species:S:1:pos:R:3 pbc="T T T"
Ho -4.074 -6.689 -3.618
Ho -1.398 -4.741 -4.998
Ho -0.511 -7.101 -8.045
Al 0.137 -9.914 -9.273
Ho 1.806 -6.156 -5.768
Al -1.668 -9.843 -7.001
Tm -0.331 -11.535 -3.765
Ho -3.641 -7.385 -6.900
Al 1.115 -9.245 -6.433
Al -3.490 -9.663 -4.749
Ho -0.599 -3.008 -2.383
Ho -0.860 -8.167 -4.376
Al -4.468 -10.332 -7.589
```

5.
Below is a relaxed HoTmAl3 crystal, with properties calculated at the PBE-GGA level.

## Properties
Space group: No. 63
E_tot (eV per atom): -4.50

extended XYZ file:
```
10
Lattice="-3.400 2.981 0.215 -0.516 -0.831 3.353 9.085 10.212 2.110" Properties=species:S:1:pos:R:3 pbc="T T T"
Tm 3.968 5.963 3.908
Al -0.697 4.164 2.744
Al 1.924 3.695 3.031
Al 5.865 8.198 2.935
Tm 1.201 6.398 1.771
Ho 4.747 10.205 5.080
Al 3.244 8.667 2.647
Al 7.553 10.071 3.659
Al -2.384 2.291 2.020
Ho 0.421 2.156 0.599
```

6.
Below is a relaxed Ho4TmAl crystal, with properties calculated at the PBE-GGA level.

## Properties
Space group: No. 15
Distance to the lowest polymorph of the same formula (meV/atom): 85

extended XYZ file:
```
12
Lattice="6.145 -0.676 0.000 -2.527 8.523 0.000 -1.809 -3.923 6.855" Properties=species:S:1:pos:R:3 pbc="T T T"
Tm 1.536 -0.169 5.605
Tm 0.273 4.092 1.250
Ho 2.980 -1.143 2.544
Al -2.800 4.430 6.847
Ho -1.171 5.066 4.311
Al 4.609 -0.507 0.008
Ho 3.339 1.946 1.618
Ho 1.716 3.119 4.311
Ho 3.351 5.562 1.618
Ho -1.530 1.977 5.237
Ho 0.093 0.805 2.544
Ho -1.542 -1.639 5.237
```

7.
Below is a relaxed HoTm2Al6 crystal, with properties calculated at the PBE-GGA level.

## Properties
Space group: No. 191
E_tot (eV per atom): -4.48

extended XYZ file:
```
9
Lattice="3.408 0.000 0.000 0.000 6.830 -3.943 0.000 0.000 7.886" Properties=species:S:1:pos:R:3 pbc="T T T"
Al 1.704 4.550 2.627
Al 1.704 0.000 5.253
Ho 0.000 0.000 7.886
Al 1.704 2.280 1.316
Al 1.704 2.280 -1.316
Tm 3.408 4.553 0.000
Al 1.704 4.550 5.259
Tm 0.000 2.277 3.943
Al 1.704 0.000 2.633
```

8.
Below is a relaxed Ho5Tm4Al crystal, with properties calculated at the PBE-GGA level.

## Properties
Space group: No. 123
E_tot (eV per atom): -4.51

extended XYZ file:
```
10
Lattice="-0.129 -2.556 2.386 2.233 -1.897 -1.911 18.326 9.893 11.592" Properties=species:S:1:pos:R:3 pbc="T T T"
Ho 2.522 -1.433 1.167
Ho 14.051 4.791 8.459
Tm 14.898 8.042 9.424
Tm 11.077 5.980 7.007
Tm 7.248 3.913 4.585
Ho 10.215 2.720 6.033
Ho 6.379 0.649 3.607
Al 0.000 0.000 0.000
Tm 3.428 1.850 2.168
Ho 17.908 6.873 10.899
```

9.
Below is a relaxed Ho6Tm3Al crystal, with properties calculated at the PBE-GGA level.

## Properties
Space group: No. 148
E_tot (eV per atom): -4.34

extended XYZ file:
```
20
Lattice="8.528 0.090 0.092 -0.095 8.527 0.092 -0.095 -0.097 8.527" Properties=species:S:1:pos:R:3 pbc="T T T"
Al 0.000 0.000 0.000
Ho 8.066 5.321 7.394
Tm 6.298 0.985 2.248
Ho 3.192 1.309 0.370
Ho 5.145 7.211 8.341
Ho 6.971 3.406 4.459
Ho 4.107 1.456 5.207
Ho 1.366 5.114 4.252
Ho 0.271 3.199 1.317
Tm 2.039 7.536 6.464
Tm 7.490 6.413 2.345
Tm 2.088 6.345 1.034
Ho 1.240 0.298 3.227
Ho 7.098 8.222 5.484
Tm 0.848 2.107 6.367
Ho 4.230 7.065 3.505
Ho 5.083 4.218 1.571
Ho 3.254 4.302 7.141
Tm 6.249 2.175 7.677
Al 4.169 4.260 4.356
```

10.
Below is a relaxed HoTm4Al crystal, with properties calculated at the PBE-GGA level.

## Properties
Space group: No. 36
Distance to the lowest polymorph of the same formula (meV/atom): 27

extended XYZ file:
```
12
Lattice="5.249 0.000 0.000 0.000 10.801 0.000 -2.625 0.000 5.899" Properties=species:S:1:pos:R:3 pbc="T T T"
Tm 0.000 2.141 0.010
Ho 0.000 2.501 3.778
Al 2.625 10.248 4.099
Tm 2.625 4.817 0.306
Tm 0.000 10.218 5.594
Al 0.000 4.848 1.800
Tm 2.625 7.541 5.889
Tm 2.625 1.750 2.108
Tm 0.000 10.226 2.150
Ho 2.625 7.901 2.121
Tm 2.625 4.826 3.749
Tm 0.000 7.151 3.791
```

11.
Below is a relaxed HoTmAl crystal, with properties calculated at the PBE-GGA level.

## Properties
Space group: No. 107
Distance to the lowest polymorph of the same formula (meV/atom): 0

extended XYZ file:
```
3
Lattice="3.413 0.000 0.000 0.000 3.413 0.000 -1.706 -1.706 6.633" Properties=species:S:1:pos:R:3 pbc="T T T"
Tm 0.000 0.000 3.990
Ho 1.706 1.706 1.327
Al 1.706 1.706 5.959
```

12.
Below is a relaxed HoTmAl2 crystal, with properties calculated at the PBE-GGA level.

## Properties
Space group: No. 123
E_tot (eV per atom): -4.53

extended XYZ file:
```
4
Lattice="3.568 0.000 0.000 0.000 5.042 0.000 0.000 0.000 5.042" Properties=species:S:1:pos:R:3 pbc="T T T"
Al 0.000 0.000 2.521
Al 0.000 2.521 0.000
Ho 1.784 2.521 2.521
Tm 1.784 0.000 0.000
```

13.
Below is a relaxed Ho3Tm4Al crystal, with properties calculated at the PBE-GGA level.

## Properties
Space group: No. 123
E_tot (eV per atom): -4.51

extended XYZ file:
```
8
Lattice="3.488 0.000 0.000 0.000 3.488 0.000 0.000 0.000 18.841" Properties=species:S:1:pos:R:3 pbc="T T T"
Tm 0.000 0.000 16.944
Al 1.744 1.744 0.000
Tm 0.000 0.000 11.925
Ho 1.744 1.744 14.412
Ho 1.744 1.744 4.429
Tm 0.000 0.000 6.916
Tm 0.000 0.000 1.897
Ho 1.744 1.744 9.421
```

14.
Below is a relaxed Ho2TmAl3 crystal, with properties calculated at the PBE-GGA level.

## Properties
Space group: No. 123
E_tot (eV per atom): -4.54

extended XYZ file:
```
6
Lattice="3.560 0.000 0.000 0.000 3.560 0.000 0.000 0.000 10.776" Properties=species:S:1:pos:R:3 pbc="T T T"
Al 0.000 0.000 0.000
Ho 1.780 1.780 1.811
Tm 1.780 1.780 5.388
Al 0.000 0.000 3.626
Al 0.000 0.000 7.150
Ho 1.780 1.780 8.965
```

15.
Below is a relaxed HoTmAl crystal, with properties calculated at the PBE-GGA level.

## Properties
Space group: No. 129
Distance to the lowest polymorph of the same formula (meV/atom): 194

extended XYZ file:
```
6
Lattice="4.692 0.000 0.000 0.000 4.692 0.000 0.000 0.000 7.407" Properties=species:S:1:pos:R:3 pbc="T T T"
Al 0.000 0.000 0.000
Ho 0.000 2.346 5.381
Ho 2.346 0.000 2.025
Tm 0.000 2.346 1.906
Al 2.346 2.346 0.000
Tm 2.346 0.000 5.500
```

16.
Below is a relaxed Ho4Tm2Al crystal, with properties calculated at the PBE-GGA level.

## Properties
Space group: No. 166
E_tot (eV per atom): -4.01

extended XYZ file:
```
7
Lattice="4.643 0.000 0.000 2.321 4.021 0.000 2.321 1.340 12.448" Properties=species:S:1:pos:R:3 pbc="T T T"
Ho 6.964 4.021 11.224
Ho 6.964 4.021 3.223
Ho 2.321 1.340 9.225
Tm 2.321 1.340 5.238
Al 0.000 0.000 0.000
Tm 6.964 4.021 7.210
Ho 2.321 1.340 1.224
```

17.
Below is a relaxed Ho2TmAl2 crystal, with properties calculated at the PBE-GGA level.

## Properties
Space group: No. 11
Distance to the lowest polymorph of the same formula (meV/atom): 0

extended XYZ file:
```
10
Lattice="3.581 0.000 -0.480 0.000 5.095 0.000 -0.032 0.000 13.379" Properties=species:S:1:pos:R:3 pbc="T T T"
Ho 0.822 3.821 6.149
Tm 0.511 1.274 3.840
Al 1.581 3.821 11.817
Tm 3.038 3.821 9.058
Al 1.968 1.274 1.082
Ho 3.384 1.274 11.668
Ho 2.727 1.274 6.749
Al 2.284 3.821 3.460
Ho 0.165 3.821 1.231
Al 1.265 1.274 9.439
```

18.
Below is a relaxed HoTm3Al8 crystal, with properties calculated at the PBE-GGA level.

## Properties
Space group: No. 160
Distance to the lowest polymorph of the same formula (meV/atom): 0

extended XYZ file:
```
12
Lattice="-2.838 -1.959 -4.299 -3.175 -4.466 0.598 -9.008 3.134 0.985" Properties=species:S:1:pos:R:3 pbc="T T T"
Al -10.246 -1.632 -3.091
Al -4.315 -2.226 -1.436
Al -5.070 0.167 -0.263
Al -11.834 -3.867 -2.792
Tm -7.518 -1.640 -1.356
Al -5.902 -4.460 -1.137
Ho -8.636 -4.449 -2.870
Tm -6.015 -6.423 -3.701
Al -10.414 -2.886 -0.641
Tm -10.130 0.328 -0.528
Al -5.734 -3.206 -3.586
Al -12.577 -1.480 -1.622
```

19.
Below is a relaxed HoTm4Al crystal, with properties calculated at the PBE-GGA level.

## Properties
Space group: No. 123
Distance to the lowest polymorph of the same formula (meV/atom): 0

extended XYZ file:
```
6
Lattice="3.481 0.000 0.000 0.000 3.481 0.000 0.000 0.000 13.804" Properties=species:S:1:pos:R:3 pbc="T T T"
Tm 1.741 1.741 2.482
Al 1.741 1.741 6.902
Tm 1.741 1.741 11.321
Tm 0.000 0.000 8.799
Ho 0.000 0.000 0.000
Tm 0.000 0.000 5.005
```

20.
Below is a relaxed Ho3Tm12Al crystal, with properties calculated at the PBE-GGA level.

## Properties
Space group: No. 123
E_tot (eV per atom): -4.46

extended XYZ file:
```
16
Lattice="-4.356 -1.215 1.803 -0.336 -3.613 -3.247 8.687 -12.249 12.731" Properties=species:S:1:pos:R:3 pbc="T T T"
Tm 0.853 -3.247 -0.126
Tm 3.275 -8.298 8.894
Tm 7.497 -12.615 9.611
Ho 6.546 -9.231 9.595
Tm 4.235 -11.694 8.924
Ho 4.343 -6.125 6.366
Tm -2.346 -2.414 -0.722
Tm 5.487 -11.417 12.136
Tm 5.286 -9.496 6.369
Ho 2.140 -3.018 3.137
Tm 1.997 -8.539 5.644
Tm -0.241 -5.383 2.364
Tm -1.157 -2.048 2.398
Tm 3.065 -6.365 3.115
Al 0.000 0.000 0.000
Tm 1.055 -5.167 5.640
```

Number 1: N(E_F) 0.507 states/eV per atom. Number 2: N(E_F) 0.511 states/eV per atom. Number 3: N(E_F) 1.123 states/eV per atom. Number 4: N(E_F) 0.878 states/eV per atom. Number 5: N(E_F) 0.622 states/eV per atom. Number 6: N(E_F) 1.252 states/eV per atom. Number 7: N(E_F) 0.164 states/eV per atom. Number 8: N(E_F) 1.390 states/eV per atom. Number 9: N(E_F) 1.831 states/eV per atom. Number 10: N(E_F) 0.979 states/eV per atom. Number 11: N(E_F) 0.727 states/eV per atom. Number 12: N(E_F) 0.374 states/eV per atom. Number 13: N(E_F) 1.174 states/eV per atom. Number 14: N(E_F) 0.372 states/eV per atom. Number 15: N(E_F) 1.114 states/eV per atom. Number 16: N(E_F) 1.881 states/eV per atom. Number 17: N(E_F) 0.606 states/eV per atom. Number 18: N(E_F) 0.810 states/eV per atom. Number 19: N(E_F) 0.999 states/eV per atom. Number 20: N(E_F) 1.217 states/eV per atom.